SrIn6Ir6 (GGA-PBE, optimized geometry); SG = Immm, No. 71; M_tot = 0.00 μB/cell; formation enthalpy at 0 K = -2.1 eV per formula unit; DOS(E_F) = 0.836 states/eV per atom
1.0
-1.3011 -1.8207 5.1795
2.1478 -6.8035 1.2209
5.3711 0.9536 4.7574
Ir In Sr
6 6 1
Direct
0.5000 0.0000 0.5000 Ir
0.5000 0.7570 0.2430 Ir
0.5000 0.5000 0.0000 Ir
0.0000 0.5000 0.0000 Ir
0.0000 0.0000 0.5000 Ir
0.5000 0.2430 0.7570 Ir
0.3229 0.1771 0.1771 In
0.0000 0.3395 0.6605 In
0.6588 0.3412 0.3412 In
0.3412 0.6588 0.6588 In
0.6771 0.8229 0.8229 In
0.0000 0.6605 0.3395 In
0.0000 0.0000 0.0000 Sr


SrIn2Ir (GGA-PBE, optimized geometry); SG = P2/m, No. 10; M_tot = 0.00 μB/cell; formation enthalpy at 0 K = -0.3 eV per formula unit; DOS(E_F) = 0.662 states/eV per atom
1.0
4.7310 0.0000 0.0000
0.0000 3.4838 -0.0023
0.0000 1.3700 5.9489
In Ir Sr
2 1 1
Direct
0.0000 0.3866 0.4616 In
0.0000 0.1134 0.0384 In
0.5000 0.2500 0.2500 Ir
0.5000 0.7500 0.7500 Sr


Sr2InIr (GGA-PBE, optimized geometry); SG = I-4m2, No. 119; M_tot = 0.00 μB/cell; formation enthalpy at 0 K = 0.1 eV per formula unit; DOS(E_F) = 1.073 states/eV per atom
1.0
5.5651 0.0332 0.0000
1.2868 5.4144 0.0000
-3.4259 -2.7238 3.4374
In Sr Ir
1 2 1
Direct
0.5000 0.5000 0.0000 In
0.2500 0.7500 0.5000 Sr
0.0000 0.0000 0.0000 Sr
0.7500 0.2500 0.5000 Ir


SrIn2Ir (GGA-PBE, optimized geometry); SG = Fm-3m, No. 225; M_tot = 0.00 μB/cell; formation enthalpy at 0 K = -0.4 eV per formula unit; DOS(E_F) = 0.484 states/eV per atom
1.0
0.0000 3.5420 3.5420
3.5420 0.0000 3.5420
3.5420 3.5420 0.0000
Sr In Ir
1 2 1
Direct
0.0000 0.0000 0.0000 Sr
0.2500 0.2500 0.2500 In
0.7500 0.7500 0.7500 In
0.5000 0.5000 0.5000 Ir


SrInIr (GGA-PBE, optimized geometry); SG = P-6m2, No. 187; M_tot = 0.00 μB/cell; formation enthalpy at 0 K = -0.7 eV per formula unit; DOS(E_F) = 0.490 states/eV per atom
1.0
4.5753 0.0000 0.0000
-2.2876 3.9623 0.0000
0.0000 0.0000 4.4729
Ir Sr In
1 1 1
Direct
0.6667 0.3333 0.1667 Ir
0.3333 0.6667 0.6667 Sr
0.0000 0.0000 0.1667 In


Sr3In2Ir (GGA-PBE, optimized geometry); SG = C2/c, No. 15; M_tot = 0.00 μB/cell; formation enthalpy at 0 K = -1.6 eV per formula unit; DOS(E_F) = 0.832 states/eV per atom
1.0
-0.2999 -6.8049 1.3985
5.3064 -1.1221 -4.3515
9.6158 -5.3836 4.0549
Ir In Sr
2 4 6
Direct
0.3641 0.6359 0.7500 Ir
0.6359 0.3641 0.2500 Ir
0.7494 0.5723 0.3599 In
0.4277 0.2506 0.1401 In
0.5723 0.7494 0.8599 In
0.2506 0.4277 0.6401 In
0.3270 0.6730 0.2500 Sr
0.2196 0.9987 0.5491 Sr
0.7804 0.0013 0.4509 Sr
0.9987 0.2196 0.0491 Sr
0.6730 0.3270 0.7500 Sr
0.0013 0.7804 0.9509 Sr


SrIn12Ir4 (GGA-PBE, optimized geometry); SG = Im-3m, No. 229; M_tot = 0.00 μB/cell; formation enthalpy at 0 K = -2.1 eV per formula unit; DOS(E_F) = 0.574 states/eV per atom
1.0
8.9955 0.0000 0.0000
-2.9985 8.4811 0.0000
-2.9985 -4.2405 7.3448
In Ir Sr
12 4 1
Direct
0.7443 0.4882 0.7439 In
0.2557 0.9996 0.7439 In
0.4882 0.7439 0.7443 In
0.7439 0.7443 0.4882 In
0.7443 0.0004 0.2561 In
0.2557 0.5118 0.2561 In
0.9996 0.7439 0.2557 In
0.2561 0.7443 0.0004 In
0.0004 0.2561 0.7443 In
0.2561 0.2557 0.5118 In
0.7439 0.2557 0.9996 In
0.5118 0.2561 0.2557 In
0.5000 0.0000 0.0000 Ir
0.0000 0.0000 0.5000 Ir
0.0000 0.5000 0.0000 Ir
0.5000 0.5000 0.5000 Ir
0.0000 0.0000 0.0000 Sr


SrIn2Ir (GGA-PBE, optimized geometry); SG = Pnma, No. 62; M_tot = 0.00 μB/cell; formation enthalpy at 0 K = -1.6 eV per formula unit; DOS(E_F) = 0.451 states/eV per atom
1.0
6.0230 0.0000 0.0000
0.0000 7.9287 0.0000
0.0000 0.0000 16.4741
Ir In Sr
8 16 8
Direct
0.0137 0.7500 0.9287 Ir
0.5137 0.2500 0.5713 Ir
0.4863 0.7500 0.4287 Ir
0.7393 0.7500 0.1873 Ir
0.7607 0.7500 0.6873 Ir
0.2393 0.2500 0.3127 Ir
0.2607 0.2500 0.8127 Ir
0.9863 0.2500 0.0713 Ir
0.2302 0.0566 0.9575 In
0.7698 0.9434 0.0425 In
0.0271 0.9486 0.7880 In
0.4729 0.9486 0.2880 In
0.2698 0.4434 0.4575 In
0.2302 0.4434 0.9575 In
0.9729 0.4486 0.2120 In
0.0271 0.5514 0.7880 In
0.5271 0.0514 0.7120 In
0.7302 0.5566 0.5425 In
0.4729 0.5514 0.2880 In
0.7302 0.9434 0.5425 In
0.5271 0.4486 0.7120 In
0.7698 0.5566 0.0425 In
0.9729 0.0514 0.2120 In
0.2698 0.0566 0.4575 In
0.2632 0.7500 0.1022 Sr
0.7632 0.2500 0.3978 Sr
0.0323 0.2500 0.6362 Sr
0.2368 0.7500 0.6022 Sr
0.9677 0.7500 0.3638 Sr
0.4677 0.2500 0.1362 Sr
0.5323 0.7500 0.8638 Sr
0.7368 0.2500 0.8978 Sr


Sr4In3Ir2 (GGA-PBE, optimized geometry); SG = C2/m, No. 12; M_tot = 0.00 μB/cell; formation enthalpy at 0 K = -3.0 eV per formula unit; DOS(E_F) = 0.714 states/eV per atom
1.0
4.1565 0.0000 -1.1461
-0.6807 7.4066 -2.4687
0.1874 -0.1616 8.7902
Ir Sr In
2 4 3
Direct
0.4064 0.5588 0.8127 Ir
0.5936 0.4412 0.1873 Ir
0.5762 0.8615 0.1523 Sr
0.2254 0.6753 0.4508 Sr
0.7746 0.3247 0.5492 Sr
0.4238 0.1385 0.8477 Sr
0.8984 0.7767 0.7968 In
0.1016 0.2233 0.2032 In
0.0000 0.5000 0.0000 In


SrInIr (GGA-PBE, optimized geometry); SG = C2/m, No. 12; M_tot = 0.00 μB/cell; formation enthalpy at 0 K = -1.0 eV per formula unit; DOS(E_F) = 0.583 states/eV per atom
1.0
-3.1706 2.9912 -0.8640
-3.5095 -2.6937 3.5449
-0.4327 4.3932 5.3622
In Ir Sr
2 2 2
Direct
0.9171 0.1965 0.6655 In
0.0829 0.8035 0.3345 In
0.2845 0.0972 0.9309 Ir
0.7155 0.9028 0.0691 Ir
0.6259 0.3317 0.2483 Sr
0.3741 0.6683 0.7517 Sr


SrIn2Ir (GGA-PBE, optimized geometry); SG = Pmm2, No. 25; M_tot = 0.00 μB/cell; formation enthalpy at 0 K = -0.5 eV per formula unit; DOS(E_F) = 0.533 states/eV per atom
1.0
3.4708 0.0000 0.0000
0.0000 3.6986 0.0000
0.0000 0.0000 7.6878
In Sr Ir
2 1 1
Direct
0.5000 0.5000 0.2957 In
0.0000 0.0000 0.0473 In
0.5000 0.5000 0.7159 Sr
0.0000 0.0000 0.4411 Ir


Sr2InIr (GGA-PBE, optimized geometry); SG = R-3m, No. 166; M_tot = 0.00 μB/cell; formation enthalpy at 0 K = 0.2 eV per formula unit; DOS(E_F) = 0.885 states/eV per atom
1.0
-8.5598 0.3103 2.8468
-8.8714 -1.2450 -1.1040
-7.8893 -3.8325 2.1310
Ir Sr In
1 2 1
Direct
0.7500 0.7500 0.7500 Ir
0.4793 0.4793 0.4793 Sr
0.0207 0.0207 0.0207 Sr
0.2500 0.2500 0.2500 In


Sr2InIr (GGA-PBE, optimized geometry); SG = I-42d, No. 122; M_tot = 0.00 μB/cell; formation enthalpy at 0 K = -0.7 eV per formula unit; DOS(E_F) = 0.657 states/eV per atom
1.0
10.9176 0.0000 0.0000
0.0000 10.9176 0.0000
5.4588 5.4588 2.6168
Sr Ir In
4 2 2
Direct
0.9606 0.6250 0.2500 Sr
0.7894 0.1250 0.2500 Sr
0.3750 0.2106 0.7500 Sr
0.8750 0.0394 0.7500 Sr
0.0000 0.0000 0.0000 Ir
0.7500 0.2500 0.5000 Ir
0.2500 0.7500 0.5000 In
0.5000 0.5000 0.0000 In


SrInIr2 (GGA-PBE, optimized geometry); SG = Pmm2, No. 25; M_tot = 0.00 μB/cell; formation enthalpy at 0 K = 0.3 eV per formula unit; DOS(E_F) = 1.030 states/eV per atom
1.0
-0.4235 2.7272 1.1355
-3.6615 -0.9294 0.8664
2.2223 -2.4646 6.7481
In Ir Sr
1 2 1
Direct
0.5000 0.5000 0.8065 In
0.5000 0.5000 0.1776 Ir
0.0000 0.0000 0.0496 Ir
0.0000 0.0000 0.4663 Sr


SrIn2Ir (GGA-PBE, optimized geometry); SG = Pm, No. 6; M_tot = 0.00 μB/cell; formation enthalpy at 0 K = -0.5 eV per formula unit; DOS(E_F) = 0.562 states/eV per atom
1.0
3.8334 0.0000 0.0000
0.0000 4.7551 -0.0199
0.0000 2.3613 5.8139
In Sr Ir
2 1 1
Direct
0.5000 0.4406 0.2420 In
0.0000 0.0485 0.0330 In
0.5000 0.7345 0.6564 Sr
0.0000 0.2764 0.5687 Ir


SrInIr (GGA-PBE, optimized geometry); SG = F-43m, No. 216; M_tot = 0.00 μB/cell; formation enthalpy at 0 K = -0.4 eV per formula unit; DOS(E_F) = 0.345 states/eV per atom
1.0
-0.3434 3.5994 -3.2188
-0.6108 -1.0028 -4.6964
-4.2389 0.9343 -2.1431
In Ir Sr
1 1 1
Direct
0.5000 0.5000 0.5000 In
0.7500 0.7500 0.7500 Ir
0.0000 0.0000 0.0000 Sr


Sr3In2Ir2 (GGA-PBE, optimized geometry); SG = Pbcm, No. 57; M_tot = 0.00 μB/cell; formation enthalpy at 0 K = -2.5 eV per formula unit; DOS(E_F) = 0.383 states/eV per atom
1.0
6.2076 0.0000 0.0000
0.0000 8.4318 0.0000
0.0000 0.0000 14.8325
Ir In Sr
8 8 12
Direct
0.6434 0.4692 0.4061 Ir
0.3566 0.9692 0.4061 Ir
0.3566 0.5308 0.5939 Ir
0.3566 0.5308 0.9061 Ir
0.6434 0.4692 0.0939 Ir
0.6434 0.0308 0.5939 Ir
0.6434 0.0308 0.9061 Ir
0.3566 0.9692 0.0939 Ir
0.6117 0.7500 0.0000 In
0.3883 0.2500 0.5000 In
0.8536 0.0964 0.7500 In
0.1464 0.9036 0.2500 In
0.8536 0.4036 0.2500 In
0.6117 0.7500 0.5000 In
0.1464 0.5964 0.7500 In
0.3883 0.2500 0.0000 In
0.6209 0.7496 0.2500 Sr
0.8498 0.3990 0.5924 Sr
0.1502 0.8990 0.5924 Sr
0.8498 0.3990 0.9076 Sr
0.1502 0.6010 0.4076 Sr
0.6209 0.7504 0.7500 Sr
0.8498 0.1010 0.4076 Sr
0.3791 0.2504 0.7500 Sr
0.1502 0.8990 0.9076 Sr
0.3791 0.2496 0.2500 Sr
0.8498 0.1010 0.0924 Sr
0.1502 0.6010 0.0924 Sr


Sr2InIr (GGA-PBE, optimized geometry); SG = C2/m, No. 12; M_tot = 0.00 μB/cell; formation enthalpy at 0 K = 0.2 eV per formula unit; DOS(E_F) = 0.787 states/eV per atom
1.0
4.3069 0.0232 -0.0041
2.8704 3.2111 -0.0041
1.1877 0.5352 9.1855
Sr Ir In
2 1 1
Direct
0.5115 0.5115 0.4458 Sr
0.9885 0.9885 0.0542 Sr
0.2500 0.2500 0.2500 Ir
0.7500 0.7500 0.7500 In


SrIn2Ir (GGA-PBE, optimized geometry); SG = F-43m, No. 216; M_tot = 0.00 μB/cell; formation enthalpy at 0 K = 0.2 eV per formula unit; DOS(E_F) = 0.724 states/eV per atom
1.0
-1.8873 -4.6746 0.7148
-0.8650 -3.0347 -3.9959
2.9430 -4.0807 -0.7819
In Ir Sr
2 1 1
Direct
0.0000 0.0000 0.0000 In
0.2500 0.2500 0.2500 In
0.5000 0.5000 0.5000 Ir
0.7500 0.7500 0.7500 Sr


SrInIr2 (GGA-PBE, optimized geometry); SG = R-3m, No. 166; M_tot = 0.00 μB/cell; formation enthalpy at 0 K = -0.6 eV per formula unit; DOS(E_F) = 0.688 states/eV per atom
1.0
-0.8090 -3.7755 2.6030
3.5431 -2.7102 1.3363
1.4938 0.8283 5.8287
Ir In Sr
2 1 1
Direct
0.5715 0.5715 0.2855 Ir
0.9285 0.9285 0.2145 Ir
0.2500 0.2500 0.2500 In
0.7500 0.7500 0.7500 Sr


SrInIr2 (GGA-PBE, optimized geometry); SG = I-4m2, No. 119; M_tot = 0.00 μB/cell; formation enthalpy at 0 K = 1.1 eV per formula unit; DOS(E_F) = 1.344 states/eV per atom
1.0
-3.9628 3.7440 -0.1382
-3.4860 -0.2191 4.1881
5.4288 0.0976 -0.5090
In Ir Sr
1 2 1
Direct
0.7500 0.2500 0.5000 In
0.2500 0.7500 0.5000 Ir
0.0000 0.0000 0.0000 Ir
0.5000 0.5000 0.0000 Sr


SrIn2Ir (GGA-PBE, optimized geometry); SG = P2_1/m, No. 11; M_tot = 0.00 μB/cell; formation enthalpy at 0 K = -1.6 eV per formula unit; DOS(E_F) = 0.459 states/eV per atom
1.0
-3.4081 -1.8335 1.9136
4.9462 -0.7587 3.2352
-1.5377 7.0331 4.0002
Sr In Ir
2 4 2
Direct
0.0601 0.1207 0.7500 Sr
0.9399 0.8793 0.2500 Sr
0.3452 0.6903 0.9478 In
0.6548 0.3097 0.4478 In
0.3452 0.6903 0.5522 In
0.6548 0.3097 0.0522 In
0.7802 0.5593 0.7500 Ir
0.2198 0.4407 0.2500 Ir


SrIn2Ir (GGA-PBE, optimized geometry); SG = Pmmm, No. 47; M_tot = 0.00 μB/cell; formation enthalpy at 0 K = 0.1 eV per formula unit; DOS(E_F) = 0.725 states/eV per atom
1.0
-2.4668 -1.0720 3.5233
3.6423 -1.0656 2.2259
0.3395 4.5463 1.6209
In Sr Ir
2 1 1
Direct
0.5000 0.5000 0.0000 In
0.0000 0.0000 0.0000 In
0.0000 0.5000 0.5000 Sr
0.5000 0.0000 0.5000 Ir


SrInIr4 (GGA-PBE, optimized geometry); SG = F-43m, No. 216; M_tot = 0.00 μB/cell; formation enthalpy at 0 K = -0.3 eV per formula unit; DOS(E_F) = 1.217 states/eV per atom
1.0
0.0000 3.8063 3.8063
3.8063 0.0000 3.8063
3.8063 3.8063 0.0000
Ir Sr In
4 1 1
Direct
0.8758 0.3747 0.3747 Ir
0.3747 0.3747 0.8758 Ir
0.3747 0.3747 0.3747 Ir
0.3747 0.8758 0.3747 Ir
0.7500 0.7500 0.7500 Sr
0.0000 0.0000 0.0000 In


SrInIr2 (GGA-PBE, optimized geometry); SG = Pm, No. 6; M_tot = 0.00 μB/cell; formation enthalpy at 0 K = -0.2 eV per formula unit; DOS(E_F) = 0.714 states/eV per atom
1.0
4.4824 0.0000 0.0000
0.0000 4.4819 -0.0187
0.0000 2.1912 4.8572
Sr Ir In
1 2 1
Direct
0.0000 0.4741 0.4301 Sr
0.5000 0.0867 0.2135 Ir
0.0000 0.1561 0.0324 Ir
0.5000 0.7831 0.8240 In


Values for ρ, g cm⁻³, ordered as above
12.809; 8.627; 7.743; 9.519; 8.082; 5.484; 6.621; 8.603; 6.628; 8.130; 8.572; 5.875; 5.135; 11.204; 7.969; 8.170; 7.503; 6.334; 9.064; 9.527; 12.252; 8.562; 8.966; 14.624; 9.968